# 1
Material: Na3Hg2Bi
Method: DFT, PBE
State: optimized geometry

a = 3.6547 Å, b = 3.6547 Å, c = 12.2310 Å
α = 90.00°, β = 90.00°, γ = 90.00°
With the nearest neighbours (Å) after each atom.
Space group P4/mmm (No. 123)
Inequivalent atoms, fractional coordinates:
Na 0.0000 0.0000 0.0000 x1  8 Hg 3.21
Na 0.0000 0.0000 0.3268 x2  4 Hg 3.32, 4 Bi 3.34, 4 Na 3.65
Hg 0.5000 0.5000 0.1563 x2  8 Na 3.21-3.32
Bi 0.5000 0.5000 0.5000 x1  8 Na 3.34, 4 Bi 3.65

The value obtained for the polymorph energy (0 for the lowest one) is 12 meV/atom. The calculation puts the energy at -1.670 eV/atom.

=====

# 2
Material: Nd2ErZr
Method: DFT, PBE
State: optimized geometry

a = 4.9619 Å, b = 4.9619 Å, c = 4.9024 Å
α = 90.00°, β = 90.00°, γ = 90.00°
With the nearest neighbours (Å) after each atom.
Space group P4/mmm (No. 123)
Inequivalent atoms, fractional coordinates:
Nd 0.0000 0.5000 0.0000 x2  4 Zr 3.49, 4 Er 3.49, 4 Nd 3.51
Er 0.0000 0.0000 0.5000 x1  8 Nd 3.49, 4 Zr 3.51
Zr 0.5000 0.5000 0.5000 x1  8 Nd 3.49, 4 Er 3.51

The value obtained for the polymorph energy (0 for the lowest one) is 0 meV/atom. The calculation puts the energy at -5.538 eV/atom.

=====

# 3
Material: HoTm3Th5
Method: DFT, PBE
State: optimized geometry

a = 9.1591 Å, b = 9.1591 Å, c = 14.1721 Å
α = 90.00°, β = 90.00°, γ = 90.00°
With the nearest neighbours (Å) after each atom.
Space group I4/mcm (No. 140)
Inequivalent atoms, fractional coordinates:
Ho 0.0000 0.5000 0.2500 x4  4 Th 3.20
Tm 0.0000 0.0000 0.2500 x4  10 Th 3.54-3.72
Tm 0.1042 0.3958 0.0000 x8  1 Tm 2.70
Th 0.0000 0.0000 0.0000 x4  6 Tm 3.54-3.75, 8 Th 3.74
Th 0.2069 0.2931 0.3736 x16  1 Tm 3.03, 1 Ho 3.20

The calculation puts the energy at -5.668 eV/atom.

=====

# 4
Material: CdTc2Mo
Method: DFT, PBE
State: optimized geometry

a = 2.8409 Å, b = 4.0172 Å, c = 5.7462 Å
α = 90.00°, β = 90.34°, γ = 90.00°
With the nearest neighbours (Å) after each atom.
Space group Pm (No. 6)
Inequivalent atoms, fractional coordinates:
Cd 0.0000 0.0000 0.0000 x1  6 Tc 2.84-2.96, 2 Cd 2.84, 4 Mo 2.96-2.98
Tc 0.0223 0.0000 0.4933 x1  6 Tc 2.70-2.84, 4 Mo 2.71-2.81, 2 Cd 2.84-2.91
Tc 0.4997 0.5000 0.2864 x1  1 Mo 2.44, 2 Tc 2.70
Mo 0.4907 0.5000 0.7107 x1  3 Tc 2.44-2.71

The calculation puts the energy at -7.826 eV/atom.

=====

# 5
Material: BaPmNd4Se8
Method: DFT, PBE
State: optimized geometry

a = 8.8518 Å, b = 8.8518 Å, c = 21.6248 Å
α = 90.00°, β = 90.00°, γ = 120.00°
With the nearest neighbours (Å) after each atom.
Space group R3m (No. 160, hexagonal axes)
Inequivalent atoms, fractional coordinates:
Ba 0.0000 0.0000 0.0000 x3  4 Se 3.04-3.05
Pm 0.0000 0.0000 0.6263 x3  6 Se 2.91-3.04
Nd 0.0000 0.0000 0.2495 x3  4 Se 2.87
Nd 0.1687 0.3374 0.4575 x9  6 Se 2.92-3.06
Se 0.0000 0.0000 0.3820 x3  4 Nd 2.87-3.06
Se 0.0000 0.0000 0.8592 x3  3 Nd 2.92, 1 Ba 3.04
Se 0.0426 0.5213 0.3793 x9  1 Pm 2.91, 2 Nd 2.93, 1 Ba 3.05
Se 0.1772 0.3544 0.2061 x9  3 Nd 2.87-3.06, 1 Pm 3.04

The uncorrected formation energy comes out at -173.1 kJ/mol of atoms. The calculation puts the energy at -5.624 eV/atom.

=====

# 6
Material: Ca2Si4Pd5
Method: DFT, PBE
State: optimized geometry

a = 5.7153 Å, b = 9.6943 Å, c = 14.4194 Å
α = 90.00°, β = 90.00°, γ = 90.00°
With the nearest neighbours (Å) after each atom.
Space group Fmmm (No. 69)
Inequivalent atoms, fractional coordinates:
Ca 0.0000 0.0000 0.1354 x8  6 Si 3.21-3.39, 10 Pd 3.26-3.46
Si 0.0000 0.1500 0.3683 x16  5 Pd 2.39-2.57
Pd 0.0000 0.0000 0.5000 x4  4 Si 2.39
Pd 0.2500 0.2500 0.0000 x8  4 Si 2.57, 4 Pd 2.81-2.86
Pd 0.2500 0.2500 0.2500 x8  4 Si 2.43

The uncorrected formation energy comes out at -66.4 kJ/mol of atoms. The calculation puts the energy at -5.385 eV/atom.

=====

# 7
Material: Ba2LiCa
Method: DFT, PBE
State: optimized geometry

a = 5.5924 Å, b = 5.5924 Å, c = 12.3814 Å
α = 90.00°, β = 90.00°, γ = 90.00°
With the nearest neighbours (Å) after each atom.
Space group I-4m2 (No. 119)
Inequivalent atoms, fractional coordinates:
Ba 0.0000 0.0000 0.0000 x2  4 Li 3.95, 4 Ba 4.17, 4 Ca 4.17
Ba 0.0000 0.5000 0.2500 x2  4 Ca 3.95, 4 Ba 4.17, 4 Li 4.17
Li 0.0000 0.0000 0.5000 x2  8 Ba 3.95-4.17, 4 Ca 4.17
Ca 0.0000 0.5000 0.7500 x2  8 Ba 3.95-4.17, 4 Li 4.17

The value obtained for the polymorph energy (0 for the lowest one) is 80 meV/atom. The calculation puts the energy at -1.829 eV/atom.

=====

# 8
Material: Pr2Er8Al
Method: DFT, PBE
State: optimized geometry

a = 19.2468 Å, b = 5.4607 Å, c = 6.4039 Å
α = 90.00°, β = 94.44°, γ = 90.00°
With the nearest neighbours (Å) after each atom.
Space group C2/m (No. 12)
Inequivalent atoms, fractional coordinates:
Pr 0.2434 0.0000 0.3305 x4  8 Er 3.42-3.69, 2 Pr 3.49
Er 0.0419 0.0000 0.2563 x4  2 Al 3.25, 6 Er 3.54-3.64
Er 0.0766 0.5000 0.6047 x4  1 Al 3.03, 3 Er 3.14-3.32
Er 0.1512 0.0000 0.8144 x4  7 Er 3.32-3.71, 4 Pr 3.57-3.69
Er 0.1556 0.5000 0.1231 x4  1 Al 3.04, 2 Er 3.37
Al 0.0000 0.5000 0.0000 x2  8 Er 3.03-3.25

The calculation puts the energy at -4.558 eV/atom.

=====

# 9
Material: KScW2
Method: DFT, PBE
State: optimized geometry

a = 3.3717 Å, b = 4.3612 Å, c = 5.3394 Å
α = 90.00°, β = 90.00°, γ = 90.00°
With the nearest neighbours (Å) after each atom.
Space group Pmmm (No. 47)
Inequivalent atoms, fractional coordinates:
K 0.0000 0.0000 0.0000 x1  4 Sc 2.76
Sc 0.5000 0.5000 0.0000 x1  4 K 2.76
W 0.0000 0.5000 0.5000 x1  4 W 2.76
W 0.5000 0.0000 0.5000 x1  4 W 2.76

The value obtained for the polymorph energy (0 for the lowest one) is 701 meV/atom. The calculation puts the energy at -7.010 eV/atom.

=====

# 10
Material: Ac2HgBiO6
Method: DFT, PBE
State: optimized geometry

a = 6.2145 Å, b = 6.2145 Å, c = 15.7813 Å
α = 90.00°, β = 90.00°, γ = 120.00°
With the nearest neighbours (Å) after each atom.
Space group R3 (No. 146, hexagonal axes)
Inequivalent atoms, fractional coordinates:
Ac 0.0000 0.0000 0.0000 x3  6 O 2.53-2.59
Ac 0.0000 0.0000 0.4977 x3  6 O 2.49-2.62
Hg 0.0000 0.0000 0.2688 x3  6 O 2.35-2.58
Bi 0.0000 0.0000 0.7792 x3  6 O 2.23-2.31
O 0.0116 0.3935 0.0480 x9  1 Bi 2.23
O 0.0264 0.7372 0.8772 x9  1 Bi 2.31, 1 Hg 2.35, 2 Ac 2.49-2.59

The uncorrected formation energy comes out at -193.9 kJ/mol of atoms. The calculation puts the energy at -6.225 eV/atom.

=====

# 11
Material: Er5IrPt2
Method: DFT, PBE
State: optimized geometry

a = 7.5880 Å, b = 11.9045 Å, c = 4.2657 Å
α = 90.00°, β = 90.00°, γ = 90.00°
With the nearest neighbours (Å) after each atom.
Space group Pbam (No. 55)
Inequivalent atoms, fractional coordinates:
Er 0.0000 0.0000 0.0000 x2  4 Pt 2.98
Er 0.1624 0.2963 0.0000 x4  1 Ir 2.72, 2 Pt 3.01
Er 0.1754 0.5923 0.5000 x4  2 Ir 2.74, 2 Pt 2.93-2.98
Ir 0.0000 0.5000 0.0000 x2  6 Er 2.72-2.74
Pt 0.0401 0.8271 0.5000 x4  8 Er 2.93-3.13

The calculation puts the energy at -6.447 eV/atom.

=====

# 12
Material: ScTlCl3
Method: DFT, PBE
State: optimized geometry

a = 5.1259 Å, b = 5.1259 Å, c = 5.1259 Å
α = 90.00°, β = 90.00°, γ = 90.00°
With the nearest neighbours (Å) after each atom.
Space group Pm-3m (No. 221)
Inequivalent atoms, fractional coordinates:
Sc 0.0000 0.0000 0.0000 x1  6 Cl 2.56
Tl 0.5000 0.5000 0.5000 x1  12 Cl 3.62
Cl 0.0000 0.0000 0.5000 x3  2 Sc 2.56

The uncorrected formation energy comes out at -143.3 kJ/mol of atoms. The calculation puts the energy at -4.333 eV/atom.

=====

# 13
Material: TlNiW2
Method: DFT, PBE
State: optimized geometry

a = 2.8937 Å, b = 2.8937 Å, c = 27.7917 Å
α = 90.00°, β = 90.00°, γ = 120.00°
With the nearest neighbours (Å) after each atom.
Space group R3m (No. 160, hexagonal axes)
Inequivalent atoms, fractional coordinates:
Tl 0.0000 0.0000 0.0000 x3  3 Ni 2.84, 6 Tl 2.89, 3 W 3.09
Ni 0.0000 0.0000 0.7492 x3  3 W 2.58, 3 Tl 2.84
W 0.0000 0.0000 0.2397 x3  9 W 2.89-2.92, 3 Tl 3.09
W 0.0000 0.0000 0.4868 x3  3 Ni 2.58

The value obtained for the polymorph energy (0 for the lowest one) is 136 meV/atom. The calculation puts the energy at -7.886 eV/atom.

=====

# 14
Material: Tm6Bi3TeSe2
Method: DFT, PBE
State: optimized geometry

a = 7.4282 Å, b = 12.8304 Å, c = 7.3867 Å
α = 90.00°, β = 109.58°, γ = 90.00°
With the nearest neighbours (Å) after each atom.
Space group C2/m (No. 12)
Inequivalent atoms, fractional coordinates:
Tm 0.2270 0.0000 0.2271 x4  2 Se 2.91, 3 Bi 3.03-3.10, 1 Te 3.03
Tm 0.2466 0.1738 0.7624 x8  2 Se 2.91-2.93, 3 Bi 3.05-3.13, 1 Te 3.06
Bi 0.0000 0.0000 0.5000 x2  6 Tm 3.03-3.12
Bi 0.0000 0.3405 0.5000 x4  6 Tm 3.05-3.13
Te 0.0000 0.5000 0.0000 x2  6 Tm 3.03-3.06
Se 0.0000 0.1687 0.0000 x4  6 Tm 2.91-2.93

The uncorrected formation energy comes out at -108.4 kJ/mol of atoms. The calculation puts the energy at -5.172 eV/atom.

=====

# 15
Material: BeSeO4
Method: DFT, PBE
State: optimized geometry

a = 7.5247 Å, b = 5.8569 Å, c = 7.4166 Å
α = 90.00°, β = 97.55°, γ = 90.00°
With the nearest neighbours (Å) after each atom.
Space group C2/c (No. 15)
Inequivalent atoms, fractional coordinates:
Be 0.2500 0.2500 0.0000 x4  4 O 1.70-1.75
Se 0.0000 0.0584 0.2500 x4  4 O 1.67-1.69
O 0.0392 0.2203 0.0737 x8  1 Se 1.67, 1 Be 1.75
O 0.1878 0.0971 0.8077 x8  1 Se 1.69, 1 Be 1.70

The uncorrected formation energy comes out at -103.3 kJ/mol of atoms. The calculation puts the energy at -5.578 eV/atom.